[1]
Hf2NbTl: optimized geometry, PBE.

a = 4.896 Å, b = 4.896 Å, c = 4.896 Å
α = 60.00°, β = 60.00°, γ = 60.00°
Atoms (fractional coordinates):
Hf  0.750  0.750  0.750
Tl  0.500  0.500  0.500
Nb  0.250  0.250  0.250
Hf  0.000  0.000  0.000

Calculated values
**Symmetry**: F-43m
**Distance to the lowest polymorph of the same formula**: 0.2938 eV per atom

=====

[2]
Si4PdPt3: optimized geometry, PBE.

a = 3.221 Å, b = 4.477 Å, c = 8.259 Å
α = 90.00°, β = 91.36°, γ = 90.00°
Atoms (fractional coordinates):
Pt  0.269  0.500  0.171
Si  0.240  0.000  0.554
Pt  0.730  0.000  0.333
Si  0.737  0.500  0.449
Pt  0.251  0.500  0.672
Pd  0.750  0.000  0.823
Si  0.263  0.000  0.053
Si  0.759  0.500  0.945

Calculated values
**Symmetry**: Pm
**Electronic total energy**: -6.1378 eV/atom

=====

[3]
GdDyZn3Ni2: optimized geometry, PBE.

a = 3.612 Å, b = 9.633 Å, c = 9.633 Å
α = 22.84°, β = 90.00°, γ = 90.00°
Atoms (fractional coordinates):
Ni  0.500  0.210  0.210
Gd  0.000  0.664  0.664
Zn  0.000  0.499  0.499
Ni  0.500  0.792  0.792
Zn  0.500  0.069  0.069
Zn  0.500  0.930  0.930
Dy  0.000  0.336  0.336

Calculated values
**Symmetry**: Amm2
**DFT formation energy**: -0.306 eV/atom

=====

[4]
HfZrBi2: optimized geometry, PBE.

a = 5.233 Å, b = 5.233 Å, c = 5.233 Å
α = 60.00°, β = 60.00°, γ = 60.00°
Atoms (fractional coordinates):
Zr  0.500  0.500  0.500
Bi  0.000  0.000  0.000
Bi  0.750  0.750  0.750
Hf  0.250  0.250  0.250

Calculated values
**Symmetry**: F-43m
**Distance to the lowest polymorph of the same formula**: 0.3837 eV per atom

=====

[5]
La2AgIr: optimized geometry, PBE.

a = 5.216 Å, b = 7.362 Å, c = 15.597 Å
α = 90.00°, β = 90.00°, γ = 90.00°
Atoms (fractional coordinates):
La  0.000  0.250  0.167
La  0.000  0.750  0.167
La  0.000  0.750  0.833
Ag  0.500  0.500  0.500
La  0.500  0.750  0.667
La  0.500  0.250  0.667
La  0.000  0.251  0.500
La  0.000  0.250  0.833
La  0.500  0.750  0.333
La  0.500  0.250  0.333
Ag  0.000  0.000  0.334
Ir  0.500  0.000  0.500
Ir  0.000  0.500  0.333
Ag  0.000  0.000  0.000
La  0.000  0.749  0.500
La  0.500  0.249  0.000
La  0.500  0.751  0.000
Ir  0.000  0.500  0.667
Ir  0.500  0.000  0.833
Ag  0.500  0.500  0.834
Ag  0.500  0.500  0.166
Ag  0.000  0.000  0.666
Ir  0.500  0.000  0.167
Ir  0.000  0.500  0.000

Calculated values
**Symmetry**: Immm
**Distance to the lowest polymorph of the same formula**: 0.0715 eV per atom
**DFT formation energy**: -0.470 eV/atom

=====

[6]
TaOsPt3: optimized geometry, PBE.

a = 6.368 Å, b = 6.368 Å, c = 6.368 Å
α = 132.41°, β = 106.44°, γ = 92.44°
Atoms (fractional coordinates):
Os  0.749  0.499  0.250
Os  0.251  0.501  0.750
Pt  0.332  0.000  0.832
Pt  0.055  0.805  0.250
Ta  0.000  0.000  0.000
Ta  0.500  0.000  0.500
Pt  0.668  0.000  0.168
Pt  0.332  0.500  0.332
Pt  0.945  0.195  0.750
Pt  0.668  0.500  0.668

Calculated values
**Symmetry**: Imma
**DFT formation energy**: 0.299 eV/atom

=====

[7]
LaPrTlNi2: optimized geometry, PBE.

a = 3.848 Å, b = 7.726 Å, c = 7.726 Å
α = 30.41°, β = 90.00°, γ = 90.00°
Atoms (fractional coordinates):
Ni  0.000  0.798  0.798
Tl  0.000  0.001  0.001
La  0.500  0.361  0.361
Pr  0.500  0.637  0.637
Ni  0.000  0.203  0.203

Calculated values
**Symmetry**: Amm2
**Electronic total energy**: -5.0475 eV/atom

=====

[8]
Cu7Bi2: optimized geometry, PBE.

a = 3.066 Å, b = 3.066 Å, c = 27.033 Å
α = 90.00°, β = 90.00°, γ = 120.00°
Atoms (fractional coordinates):
Cu  0.000  0.000  0.693
Cu  0.667  0.333  0.564
Cu  0.000  0.000  0.500
Cu  0.667  0.333  0.372
Bi  0.333  0.667  0.223
Bi  0.667  0.333  0.777
Cu  0.000  0.000  0.307
Cu  0.333  0.667  0.628
Cu  0.333  0.667  0.436

Calculated values
**Symmetry**: P-3m1
**Electronic total energy**: -3.3901 eV/atom

=====

[9]
SmHoBr2NCl: optimized geometry, PBE.

a = 9.005 Å, b = 9.005 Å, c = 11.451 Å
α = 123.13°, β = 123.13°, γ = 25.01°
Atoms (fractional coordinates):
Br  0.773  0.773  0.376
Br  0.664  0.664  0.008
N  0.422  0.422  0.344
Ho  0.863  0.863  0.215
Sm  0.421  0.421  0.544
Cl  0.966  0.966  0.747
Sm  0.579  0.579  0.456
Br  0.336  0.336  0.992
Cl  0.034  0.034  0.253
Br  0.227  0.227  0.624
N  0.578  0.578  0.656
Ho  0.137  0.137  0.785

Calculated values
**Symmetry**: C2/m
**Distance to the lowest polymorph of the same formula**: 0.0363 eV per atom

=====

[10]
Sr2LuCo: optimized geometry, PBE.

a = 5.386 Å, b = 5.386 Å, c = 5.386 Å
α = 60.00°, β = 60.00°, γ = 60.00°
Atoms (fractional coordinates):
Lu  0.500  0.500  0.500
Sr  0.750  0.750  0.750
Co  0.250  0.250  0.250
Sr  0.000  0.000  0.000

Calculated values
**Symmetry**: F-43m
**Electronic total energy**: -3.1258 eV/atom

=====

[11]
NaSrErTe3: optimized geometry, PBE.

a = 14.966 Å, b = 4.519 Å, c = 11.551 Å
α = 90.00°, β = 90.00°, γ = 90.00°
Atoms (fractional coordinates):
Te  0.878  0.750  0.628
Sr  0.266  0.250  0.043
Te  0.352  0.750  0.262
Te  0.604  0.750  0.430
Sr  0.766  0.250  0.457
Na  0.503  0.250  0.910
Er  0.984  0.250  0.167
Er  0.516  0.750  0.667
Er  0.484  0.250  0.333
Te  0.622  0.250  0.128
Te  0.396  0.250  0.570
Te  0.648  0.250  0.738
Na  0.003  0.250  0.590
Te  0.896  0.250  0.930
Sr  0.234  0.750  0.543
Na  0.497  0.750  0.090
Er  0.016  0.750  0.833
Te  0.122  0.250  0.372
Te  0.852  0.750  0.238
Te  0.378  0.750  0.872
Te  0.104  0.750  0.070
Na  0.997  0.750  0.410
Te  0.148  0.250  0.762
Sr  0.734  0.750  0.957

Calculated values
**Symmetry**: Pnma
**Electronic total energy**: -4.1307 eV/atom

=====

[12]
Nd2H: optimized geometry, PBE.

a = 4.590 Å, b = 4.590 Å, c = 4.590 Å
α = 60.00°, β = 60.00°, γ = 60.00°
Atoms (fractional coordinates):
Nd  0.750  0.750  0.750
H  0.000  0.000  0.000
Nd  0.250  0.250  0.250

Calculated values
**Symmetry**: Fm-3m
**Distance to the lowest polymorph of the same formula**: 0.0000 eV per atom

=====

[13]
Dy2Sc2CI2Br3: optimized geometry, PBE.

a = 10.120 Å, b = 10.120 Å, c = 8.116 Å
α = 101.19°, β = 101.19°, γ = 21.54°
Atoms (fractional coordinates):
Sc  0.615  0.615  0.062
Dy  0.999  0.999  0.201
Sc  0.385  0.385  0.938
I  0.840  0.840  0.169
C  0.500  0.500  0.000
Br  0.853  0.853  0.690
Dy  0.001  0.001  0.799
Br  0.147  0.147  0.310
I  0.160  0.160  0.831
Br  0.500  0.500  0.500

Calculated values
**Symmetry**: C2/m
**Distance to the lowest polymorph of the same formula**: 0.0000 eV per atom

=====

[14]
SrTe3IrAu: optimized geometry, PBE.

a = 7.807 Å, b = 7.807 Å, c = 11.083 Å
α = 90.00°, β = 90.00°, γ = 149.30°
Atoms (fractional coordinates):
Te  0.386  0.614  0.487
Te  0.047  0.953  0.250
Ir  0.000  0.000  0.000
Au  0.625  0.375  0.750
Te  0.614  0.386  0.513
Te  0.386  0.614  0.013
Sr  0.277  0.723  0.750
Te  0.614  0.386  0.987
Au  0.375  0.625  0.250
Sr  0.723  0.277  0.250
Te  0.953  0.047  0.750
Ir  0.000  0.000  0.500

Calculated values
**Symmetry**: Cmcm
**Electronic total energy**: -4.3518 eV/atom

=====

[15]
Sm2HgC2: optimized geometry, PBE.

a = 8.280 Å, b = 8.280 Å, c = 6.891 Å
α = 114.02°, β = 114.02°, γ = 28.38°
Atoms (fractional coordinates):
Sm  0.483  0.822  0.094
Hg  0.884  0.116  0.750
C  0.646  0.905  0.484
C  0.354  0.095  0.516
Hg  0.116  0.884  0.250
Sm  0.822  0.483  0.594
C  0.905  0.646  0.984
Sm  0.178  0.517  0.406
Sm  0.517  0.178  0.906
C  0.095  0.354  0.016

Calculated values
**Symmetry**: C2/c
**Electronic total energy**: -5.9705 eV/atom

=====

[16]
AlZnGaH6: optimized geometry, PBE.

a = 4.675 Å, b = 4.675 Å, c = 4.675 Å
α = 60.00°, β = 60.00°, γ = 60.00°
Atoms (fractional coordinates):
H  0.772  0.228  0.772
H  0.228  0.228  0.772
Ga  0.750  0.750  0.750
Zn  0.500  0.500  0.500
H  0.228  0.772  0.772
H  0.772  0.772  0.228
H  0.228  0.772  0.228
H  0.772  0.228  0.228
Al  0.250  0.250  0.250

Calculated values
**Symmetry**: F-43m
**Electronic total energy**: -2.5640 eV/atom